VASP calculation (PBE-GGA) on an optimized crystal structure of HfP2W.

calculated total energy = -35.37 eV per cell
E_form = -411 meV per atom
DOS at the Fermi energy = 3.40 states/eV/f.u.
space-group type = R-3m

a b c (Å): 3.7265 3.7265 5.9342
angles (deg): 71.70 71.70 60.00
Closest atoms and distances in Å follow each position.
Fractional positions:
P 0.2569 0.2569 0.2294  3 W 2.50, 3 Hf 2.62
P 0.7431 0.7431 0.7706  3 W 2.50, 3 Hf 2.62
Hf 0.5000 0.5000 0.5000  6 P 2.62
W 0.0000 0.0000 0.0000  6 P 2.50



VASP calculation (PBE-GGA) on an optimized crystal structure of Li2TcSe.

calculated total energy = -17.93 eV per cell
formation energy from raw total energies = -62 meV per atom
DOS at the Fermi energy = 2.62 states/eV/f.u.
space-group type = P2/m

a b c (Å): 3.5032 3.4450 5.9896
angles (deg): 54.45 90.00 90.00
Closest atoms and distances in Å follow each position.
Fractional positions:
Li 0.0000 0.9984 0.9991  2 Li 2.43-2.45
Li 0.0000 0.5016 0.5009  2 Li 2.43-2.45
Se 0.5000 0.2500 0.2500  2 Tc 2.44
Tc 0.5000 0.7500 0.7500  2 Se 2.44



VASP calculation (PBE-GGA) on an optimized crystal structure of BaTiCd3.

calculated total energy = -5.74 eV per cell
E_form = 1365 meV per atom
DOS at the Fermi energy = 15.74 states/eV/f.u.
space-group type = Pm-3m

a b c (Å): 6.1501 6.1501 6.1501
angles (deg): 90.00 90.00 90.00
Closest atoms and distances in Å follow each position.
Fractional positions:
Ti 0.5000 0.5000 0.5000  12 Cd 4.35
Ba 0.0000 0.0000 0.0000  6 Cd 3.08
Cd 0.0000 0.5000 0.0000  2 Ba 3.08
Cd 0.0000 0.0000 0.5000  2 Ba 3.08
Cd 0.5000 0.0000 0.0000  2 Ba 3.08



VASP calculation (PBE-GGA) on an optimized crystal structure of GaNi3Sb.

calculated total energy = -22.28 eV per cell
formation energy from raw total energies = 443 meV per atom
DOS at the Fermi energy = 2.80 states/eV/f.u.
space-group type = Pm-3m

a b c (Å): 4.3751 4.3751 4.3751
angles (deg): 90.00 90.00 90.00
Closest atoms and distances in Å follow each position.
Fractional positions:
Sb 0.5000 0.5000 0.5000  12 Ni 3.09
Ga 0.0000 0.0000 0.0000  6 Ni 2.19
Ni 0.0000 0.5000 0.0000  2 Ga 2.19
Ni 0.0000 0.0000 0.5000  2 Ga 2.19
Ni 0.5000 0.0000 0.0000  2 Ga 2.19